Version one
Entry from the Open Quantum Materials Database: an optimized crystal structure of ZnBPO (PBE).

* mass density: 3.64 g/cm³
* SG: P4/nmm, No. 129
* calculated volume: 14.06 Å³ per atom

```
ZnBPO
1.0
-1.360 -3.194 -1.542
2.382 -2.047 2.138
-5.393 -0.414 5.613
Zn P O B
2 2 2 2
Direct
0.000 0.500 0.066
0.500 0.000 0.934
0.500 0.000 0.392
0.000 0.500 0.608
0.000 0.000 0.000
0.500 0.500 0.000
0.500 0.500 0.500
0.000 0.000 0.500
```

---

Version two
Entry from the Open Quantum Materials Database: an optimized crystal structure of ZnBPO (PBE).

* mass density: 4.09 g/cm³
* SG: Pmc2_1, No. 26
* calculated volume: 12.51 Å³ per atom

```
ZnBPO
1.0
2.424 0.000 0.000
0.000 7.411 0.000
0.000 0.000 5.568
P Zn O B
2 2 2 2
Direct
0.000 0.377 0.341
0.000 0.623 0.841
0.500 0.106 0.543
0.500 0.894 0.043
0.500 0.278 0.894
0.500 0.722 0.394
0.000 0.362 0.976
0.000 0.638 0.476
```

---

Version three
Entry from the Open Quantum Materials Database: an optimized crystal structure of ZnBPO (PBE).

* mass density: 3.93 g/cm³
* SG: Pmc2_1, No. 26
* calculated volume: 13.03 Å³ per atom

```
ZnBPO
1.0
-1.548 2.788 -0.811
-5.017 -3.877 -3.753
-2.413 -0.309 3.545
Zn O P B
2 2 2 2
Direct
0.500 0.387 0.941
0.500 0.613 0.441
0.000 0.933 0.351
0.000 0.067 0.851
0.500 0.258 0.437
0.500 0.742 0.937
0.000 0.906 0.024
0.000 0.094 0.524
```

---

Version four
Entry from the Open Quantum Materials Database: an optimized crystal structure of ZnBPO (PBE).

* mass density: 4.24 g/cm³
* SG: P4/nmm, No. 129
* calculated volume: 12.07 Å³ per atom

```
ZnBPO
1.0
3.331 0.000 0.000
0.000 3.331 0.000
0.000 0.000 8.700
O P Zn B
2 2 2 2
Direct
0.500 0.500 0.000
0.000 0.000 0.000
0.000 0.500 0.700
0.500 0.000 0.300
0.000 0.000 0.500
0.500 0.500 0.500
0.500 0.000 0.940
0.000 0.500 0.060
```

---

The structure with the most favorable energy is version three; the runner-up is 74 meV/atom above it.

---

Version one
Entry from the Open Quantum Materials Database: an optimized crystal structure of Pm2B2O5 (PBE).

* mass density: 7.31 g/cm³
* SG: P4/mmm, No. 123
* calculated volume: 9.88 Å³ per atom
* magnetization: 0.0 μB per cell

```
Pm2B2O5
1.0
-0.168 2.711 -6.312
-1.935 -2.805 -1.154
-3.032 1.749 0.832
B O Pm
2 5 2
Direct
0.726 0.500 0.500
0.274 0.500 0.500
0.750 0.000 0.500
0.500 0.500 0.500
0.750 0.500 0.000
0.250 0.000 0.500
0.250 0.500 0.000
0.500 0.000 0.000
0.000 0.000 0.000
```

---

Version two
Entry from the Open Quantum Materials Database: an optimized crystal structure of Pm2B2O5 (PBE).

* mass density: 5.30 g/cm³
* SG: P4/mmm, No. 123
* calculated volume: 13.63 Å³ per atom
* magnetization: 1.5 μB per cell

```
Pm2B2O5
1.0
9.216 0.000 0.000
0.000 3.649 0.000
0.000 0.000 3.649
O Pm B
5 2 2
Direct
0.882 0.500 0.000
0.882 0.000 0.500
0.118 0.000 0.500
0.118 0.500 0.000
0.500 0.500 0.500
0.746 0.500 0.500
0.254 0.500 0.500
0.500 0.000 0.000
0.000 0.000 0.000
```

---

The structure with the most favorable energy is version one; the runner-up is 1239 meV/atom above it.

---

Version one
Entry from the Open Quantum Materials Database: an optimized crystal structure of Re2B2O5 (PBE).

* mass density: 9.29 g/cm³
* SG: P4/mmm, No. 123
* calculated volume: 9.42 Å³ per atom
* magnetization: 2.4 μB per cell

```
Re2B2O5
1.0
8.612 0.000 0.000
0.000 3.137 0.000
0.000 0.000 3.137
B Re O
2 2 5
Direct
0.783 0.500 0.500
0.217 0.500 0.500
0.500 0.000 0.000
0.000 0.000 0.000
0.160 0.000 0.500
0.500 0.500 0.500
0.840 0.000 0.500
0.840 0.500 0.000
0.160 0.500 0.000
```

---

Version two
Entry from the Open Quantum Materials Database: an optimized crystal structure of Re2B2O5 (PBE).

* mass density: 7.77 g/cm³
* SG: P4/mmm, No. 123
* calculated volume: 11.25 Å³ per atom
* magnetization: 0.0 μB per cell

```
Re2B2O5
1.0
6.882 0.000 0.000
0.000 3.836 0.000
0.000 0.000 3.836
O Re B
5 2 2
Direct
0.788 0.500 0.000
0.788 0.000 0.500
0.500 0.500 0.500
0.212 0.500 0.000
0.212 0.000 0.500
0.205 0.500 0.500
0.795 0.500 0.500
0.000 0.000 0.000
0.500 0.000 0.000
```

---

The structure with the most favorable energy is version one; the runner-up is 189 meV/atom above it.